SrTaGe2Te, relaxed, DFT PBE; symmetry = No. 123; formation energy from raw total energies = 1.85 eV per atom
1.0
5.469 0.000 0.000
0.000 5.255 0.000
0.000 0.000 5.469
Sr Ge Te Ta
1 2 1 1
direct
0.000 0.000 0.000
0.000 0.000 0.500
0.500 0.000 0.000
0.500 0.500 0.500
0.000 0.500 0.000

---

Na3CeSc2Te6, relaxed, DFT PBE; symmetry = No. 12; formation energy from raw total energies = -1.20 eV per atom
1.0
-2.438 -3.954 -5.933
0.852 -3.370 6.686
-6.584 4.184 1.523
Na Ce Sc Te
3 1 2 6
direct
0.160 0.840 0.500
0.840 0.160 0.500
0.500 0.500 0.500
0.000 0.000 0.000
0.332 0.668 0.000
0.668 0.332 0.000
0.924 0.572 0.774
0.723 0.723 0.225
0.076 0.428 0.226
0.572 0.924 0.774
0.277 0.277 0.775
0.428 0.076 0.226

---

ZnReNi, relaxed, DFT PBE; energy of formation from the pure elements = 0.022 eV per atom; symmetry = No. 5
1.0
-0.204 -1.642 4.840
-3.161 -3.098 -1.185
5.072 -3.185 -5.204
Zn Re Ni
4 4 4
direct
0.000 0.777 0.000
0.000 0.277 0.500
0.500 0.445 0.500
0.500 0.945 0.000
0.498 0.441 0.166
0.502 0.441 0.834
0.498 0.941 0.666
0.502 0.941 0.334
0.999 0.278 0.165
0.001 0.278 0.835
0.999 0.778 0.665
0.001 0.778 0.335

---

Ca2SmHo, relaxed, DFT PBE; energy of formation from the pure elements = 0.167 eV per atom; symmetry = No. 123
1.0
5.581 0.000 0.000
0.000 5.066 0.000
0.000 0.000 5.066
Ca Ho Sm
2 1 1
direct
0.000 0.000 0.500
0.000 0.500 0.000
0.500 0.500 0.500
0.500 0.000 0.000

---

Ce3Y2PuSe6, relaxed, DFT PBE; symmetry = No. 12; formation energy from raw total energies = -1.77 eV per atom
1.0
4.136 0.000 0.000
0.000 8.358 0.258
-2.068 -2.448 8.742
Ce Y Pu Se
3 2 1 6
direct
0.500 0.500 0.000
0.834 0.167 0.668
0.166 0.833 0.332
0.834 0.668 0.668
0.166 0.332 0.332
0.500 0.000 0.000
0.334 0.910 0.669
0.669 0.577 0.339
0.666 0.090 0.331
0.002 0.247 0.005
0.998 0.753 0.995
0.331 0.423 0.661

---

Sr2InSn4Pd3, relaxed, DFT PBE; energy of formation from the pure elements = -0.623 eV per atom; symmetry = No. 115
1.0
4.584 0.000 0.000
0.000 4.584 0.000
0.000 0.000 11.783
Sr In Sn Pd
2 1 4 3
direct
0.500 0.000 0.245
0.000 0.500 0.755
0.500 0.500 0.500
0.500 0.500 0.000
0.000 0.000 0.000
0.500 0.000 0.646
0.000 0.500 0.354
0.000 0.000 0.500
0.500 0.000 0.872
0.000 0.500 0.128

---

PmPrPd10, relaxed, DFT PBE; energy of formation from the pure elements = -0.521 eV per atom; symmetry = No. 47
1.0
-4.194 1.035 -1.260
-1.823 -1.548 4.799
1.160 8.621 3.221
Pm Pr Pd
1 1 10
direct
0.000 0.000 0.000
0.000 0.500 0.500
0.000 0.000 0.332
0.000 0.500 0.835
0.000 0.500 0.165
0.000 0.000 0.668
0.500 0.000 0.500
0.500 0.500 0.000
0.500 0.250 0.249
0.500 0.750 0.751
0.500 0.750 0.249
0.500 0.250 0.751

---

LaReAu, relaxed, DFT PBE; energy of formation from the pure elements = 0.634 eV per atom; symmetry = No. 216
1.0
-1.617 -4.018 -1.768
1.717 -1.640 -4.030
2.712 -3.811 -0.008
Au La Re
1 1 1
direct
0.000 0.000 0.000
0.500 0.500 0.500
0.750 0.750 0.750

---

| no. | E_tot (eV per atom) | total magnetization (Bohr magnetons per cell) |
| --- | --- | --- |
| 1 | -3.334 | 0.0 |
| 2 | -4.650 | 1.0 |
| 3 | -6.480 | 0.0 |
| 4 | -3.158 | 0.0 |
| 5 | -7.264 | 9.0 |
| 6 | -4.392 | 0.0 |
| 7 | -5.642 | 0.0 |
| 8 | -6.250 | 0.7 |